Na2CdAu2: relaxed, PBE-GGA.

```
Na2CdAu2
1.0
-3.191 1.501 2.440
2.332 -0.762 3.518
2.158 6.501 2.592
Au Na Cd
2 2 1
Direct
0.399 0.399 0.201
0.601 0.601 0.799
0.250 0.750 0.500
0.750 0.250 0.500
0.000 0.000 0.000
```

Properties
DOS at the Fermi energy = 1.3 states/eV/cell
Magnetization = 0.00 μB per cell
SG = I4/mmm
Formation enthalpy at 0 K = -0.08 eV/atom